The following is a DFT calculation (GGA-PBEsol) of an optimized crystal structure of ScTe2RhI.

Summary:
ΔE_f (raw), eV/atom: 0.014
Crystal system: tetragonal
E, eV per atom: -4.698

a = 5.1674 Å, b = 5.1674 Å, c = 5.1784 Å
α = 90.00°, β = 90.00°, γ = 90.00°
Space group P4/mmm (No. 123)
Symmetry-distinct sites (fractional):
Sc 0.0000 0.0000 0.0000 (multiplicity 1)
Te 0.0000 0.5000 0.5000 (multiplicity 2)
Rh 0.5000 0.5000 0.5000 (multiplicity 1)
I 0.5000 0.5000 0.0000 (multiplicity 1)


The following is a DFT calculation (GGA-PBEsol) of an optimized crystal structure of RhSeI3.

Summary:
ΔE_f (raw), eV/atom: 0.399
Crystal system: cubic
E, eV per atom: -3.058

a = 5.2283 Å, b = 5.2283 Å, c = 5.2283 Å
α = 90.00°, β = 90.00°, γ = 90.00°
Space group Pm-3m (No. 221)
Symmetry-distinct sites (fractional):
Rh 0.0000 0.0000 0.0000 (multiplicity 1)
Se 0.5000 0.5000 0.5000 (multiplicity 1)
I 0.0000 0.0000 0.5000 (multiplicity 3)


The following is a DFT calculation (GGA-PBEsol) of an optimized crystal structure of RhSeI2.

Summary:
ΔE_f (raw), eV/atom: 0.414
Crystal system: tetragonal
E, eV per atom: -3.467

a = 7.3853 Å, b = 7.3853 Å, c = 7.6884 Å
α = 90.00°, β = 90.00°, γ = 90.00°
Space group I-42d (No. 122)
Symmetry-distinct sites (fractional):
Rh 0.0000 0.0000 0.0000 (multiplicity 4)
Se 0.0000 0.0000 0.5000 (multiplicity 4)
I 0.2030 0.2500 0.1250 (multiplicity 8)


The following is a DFT calculation (GGA-PBEsol) of an optimized crystal structure of RhSeI2.

Summary:
ΔE_f (raw), eV/atom: 0.747
Crystal system: cubic
E, eV per atom: -3.133

a = 7.0368 Å, b = 7.0368 Å, c = 7.0368 Å
α = 90.00°, β = 90.00°, γ = 90.00°
Space group Fm-3m (No. 225)
Symmetry-distinct sites (fractional):
Rh 0.0000 0.0000 0.0000 (multiplicity 4)
Se 0.0000 0.0000 0.5000 (multiplicity 4)
I 0.2500 0.2500 0.2500 (multiplicity 8)


The following is a DFT calculation (GGA-PBEsol) of an optimized crystal structure of RhSe2I.

Summary:
ΔE_f (raw), eV/atom: -0.276
Crystal system: trigonal
E, eV per atom: -4.677

a = 3.8179 Å, b = 3.8179 Å, c = 23.4394 Å
α = 90.00°, β = 90.00°, γ = 120.00°
Space group R-3m (No. 166, hexagonal axes)
Symmetry-distinct sites (fractional):
Rh 0.0000 0.0000 0.0000 (multiplicity 3)
Se 0.0000 0.0000 0.3827 (multiplicity 6)
I 0.0000 0.0000 0.5000 (multiplicity 3)


The following is a DFT calculation (GGA-PBEsol) of an optimized crystal structure of SiTeRhI2.

Summary:
ΔE_f (raw), eV/atom: 1.006
Crystal system: tetragonal
E, eV per atom: -3.183

a = 5.2757 Å, b = 5.2757 Å, c = 5.2530 Å
α = 90.00°, β = 90.00°, γ = 90.00°
Space group P4/mmm (No. 123)
Symmetry-distinct sites (fractional):
Si 0.0000 0.0000 0.0000 (multiplicity 1)
Te 0.0000 0.0000 0.5000 (multiplicity 1)
Rh 0.5000 0.5000 0.5000 (multiplicity 1)
I 0.0000 0.5000 0.0000 (multiplicity 2)


The following is a DFT calculation (GGA-PBEsol) of an optimized crystal structure of SnRhI3.

Summary:
ΔE_f (raw), eV/atom: 0.036
Crystal system: cubic
E, eV per atom: -3.504

a = 5.2922 Å, b = 5.2922 Å, c = 5.2922 Å
α = 90.00°, β = 90.00°, γ = 90.00°
Space group Pm-3m (No. 221)
Symmetry-distinct sites (fractional):
Sn 0.0000 0.0000 0.0000 (multiplicity 1)
Rh 0.5000 0.5000 0.5000 (multiplicity 1)
I 0.0000 0.5000 0.5000 (multiplicity 3)


The following is a DFT calculation (GGA-PBEsol) of an optimized crystal structure of SrTeRhI2.

Summary:
ΔE_f (raw), eV/atom: -0.620
Crystal system: tetragonal
E, eV per atom: -4.028

a = 5.3404 Å, b = 5.3404 Å, c = 5.3356 Å
α = 90.00°, β = 90.00°, γ = 90.00°
Space group P4/mmm (No. 123)
Symmetry-distinct sites (fractional):
Sr 0.0000 0.0000 0.0000 (multiplicity 1)
Te 0.5000 0.5000 0.0000 (multiplicity 1)
Rh 0.5000 0.5000 0.5000 (multiplicity 1)
I 0.0000 0.5000 0.5000 (multiplicity 2)


The following is a DFT calculation (GGA-PBEsol) of an optimized crystal structure of TaTeRhI2.

Summary:
ΔE_f (raw), eV/atom: 1.066
Crystal system: tetragonal
E, eV per atom: -4.483

a = 5.3710 Å, b = 5.3710 Å, c = 5.3314 Å
α = 90.00°, β = 90.00°, γ = 90.00°
Space group P4/mmm (No. 123)
Symmetry-distinct sites (fractional):
Ta 0.0000 0.0000 0.0000 (multiplicity 1)
Te 0.0000 0.0000 0.5000 (multiplicity 1)
Rh 0.5000 0.5000 0.5000 (multiplicity 1)
I 0.0000 0.5000 0.0000 (multiplicity 2)


The following is a DFT calculation (GGA-PBEsol) of an optimized crystal structure of TcRh2I.

Summary:
ΔE_f (raw), eV/atom: 0.847
Crystal system: cubic
E, eV per atom: -6.481

a = 6.3585 Å, b = 6.3585 Å, c = 6.3585 Å
α = 90.00°, β = 90.00°, γ = 90.00°
Space group Fm-3m (No. 225)
Symmetry-distinct sites (fractional):
Tc 0.0000 0.0000 0.0000 (multiplicity 4)
Rh 0.2500 0.2500 0.2500 (multiplicity 8)
I 0.0000 0.0000 0.5000 (multiplicity 4)


The following is a DFT calculation (GGA-PBEsol) of an optimized crystal structure of Te2Rh2I.

Summary:
ΔE_f (raw), eV/atom: -0.318
Crystal system: tetragonal
E, eV per atom: -5.337

a = 3.9450 Å, b = 3.9450 Å, c = 15.8991 Å
α = 90.00°, β = 90.00°, γ = 90.00°
Space group I4/mmm (No. 139)
Symmetry-distinct sites (fractional):
Te 0.0000 0.0000 0.1457 (multiplicity 4)
Rh 0.0000 0.5000 0.2500 (multiplicity 4)
I 0.0000 0.0000 0.5000 (multiplicity 2)


The following is a DFT calculation (GGA-PBEsol) of an optimized crystal structure of TeRhI3.

Summary:
ΔE_f (raw), eV/atom: 1.032
Crystal system: cubic
E, eV per atom: -2.361

a = 5.8986 Å, b = 5.8986 Å, c = 5.8986 Å
α = 90.00°, β = 90.00°, γ = 90.00°
Space group Pm-3m (No. 221)
Symmetry-distinct sites (fractional):
Te 0.0000 0.0000 0.0000 (multiplicity 1)
Rh 0.5000 0.5000 0.5000 (multiplicity 1)
I 0.0000 0.0000 0.5000 (multiplicity 3)


The following is a DFT calculation (GGA-PBEsol) of an optimized crystal structure of TlTeRhI2.

Summary:
ΔE_f (raw), eV/atom: 1.149
Crystal system: tetragonal
E, eV per atom: -2.417

a = 5.8049 Å, b = 5.8049 Å, c = 5.6982 Å
α = 90.00°, β = 90.00°, γ = 90.00°
Space group P4/mmm (No. 123)
Symmetry-distinct sites (fractional):
Tl 0.0000 0.0000 0.0000 (multiplicity 1)
Te 0.0000 0.0000 0.5000 (multiplicity 1)
Rh 0.5000 0.5000 0.5000 (multiplicity 1)
I 0.0000 0.5000 0.0000 (multiplicity 2)


The following is a DFT calculation (GGA-PBEsol) of an optimized crystal structure of Ti3RhI.

Summary:
ΔE_f (raw), eV/atom: 0.334
Crystal system: cubic
E, eV per atom: -6.640

a = 4.7386 Å, b = 4.7386 Å, c = 4.7386 Å
α = 90.00°, β = 90.00°, γ = 90.00°
Space group Pm-3m (No. 221)
Symmetry-distinct sites (fractional):
Ti 0.0000 0.0000 0.5000 (multiplicity 3)
Rh 0.0000 0.0000 0.0000 (multiplicity 1)
I 0.5000 0.5000 0.5000 (multiplicity 1)


The following is a DFT calculation (GGA-PBEsol) of an optimized crystal structure of TiZnRh2I.

Summary:
ΔE_f (raw), eV/atom: 0.834
Crystal system: tetragonal
E, eV per atom: -4.756

a = 4.5346 Å, b = 4.5346 Å, c = 4.6814 Å
α = 90.00°, β = 90.00°, γ = 90.00°
Space group P4/mmm (No. 123)
Symmetry-distinct sites (fractional):
Ti 0.0000 0.0000 0.0000 (multiplicity 1)
Zn 0.0000 0.0000 0.5000 (multiplicity 1)
Rh 0.0000 0.5000 0.5000 (multiplicity 2)
I 0.5000 0.5000 0.0000 (multiplicity 1)


The following is a DFT calculation (GGA-PBEsol) of an optimized crystal structure of Y6RhI10.

Summary:
ΔE_f (raw), eV/atom: -1.251
Crystal system: triclinic
E, eV per atom: -5.176

a = 7.5307 Å, b = 9.4401 Å, c = 9.4792 Å
α = 107.30°, β = 96.96°, γ = 104.79°
Space group P-1 (No. 2)
Symmetry-distinct sites (fractional):
Y 0.0310 0.2124 0.4140 (multiplicity 2)
Y 0.1157 0.5406 0.2560 (multiplicity 2)
Y 0.3566 0.6279 0.6688 (multiplicity 2)
Rh 0.0000 0.5000 0.5000 (multiplicity 1)
I 0.0887 0.8751 0.3158 (multiplicity 2)
I 0.2179 0.2357 0.1446 (multiplicity 2)
I 0.2660 0.5900 0.9675 (multiplicity 2)
I 0.3592 0.9604 0.7765 (multiplicity 2)
I 0.4520 0.3110 0.5943 (multiplicity 2)


The following is a DFT calculation (GGA-PBEsol) of an optimized crystal structure of Ru2SI.

Summary:
ΔE_f (raw), eV/atom: 0.675
Crystal system: cubic
E, eV per atom: -5.949

a = 6.2931 Å, b = 6.2931 Å, c = 6.2931 Å
α = 90.00°, β = 90.00°, γ = 90.00°
Space group Fm-3m (No. 225)
Symmetry-distinct sites (fractional):
Ru 0.2500 0.2500 0.2500 (multiplicity 8)
S 0.0000 0.0000 0.0000 (multiplicity 4)
I 0.0000 0.0000 0.5000 (multiplicity 4)


The following is a DFT calculation (GGA-PBEsol) of an optimized crystal structure of SbRuSI2.

Summary:
ΔE_f (raw), eV/atom: 1.356
Crystal system: tetragonal
E, eV per atom: -3.174

a = 5.1581 Å, b = 5.1581 Å, c = 5.2951 Å
α = 90.00°, β = 90.00°, γ = 90.00°
Space group P4/mmm (No. 123)
Symmetry-distinct sites (fractional):
Sb 0.0000 0.0000 0.0000 (multiplicity 1)
Ru 0.5000 0.5000 0.0000 (multiplicity 1)
S 0.0000 0.0000 0.5000 (multiplicity 1)
I 0.0000 0.5000 0.5000 (multiplicity 2)


The following is a DFT calculation (GGA-PBEsol) of an optimized crystal structure of YRuS2I.

Summary:
ΔE_f (raw), eV/atom: 0.694
Crystal system: tetragonal
E, eV per atom: -4.812

a = 5.0683 Å, b = 5.0683 Å, c = 4.7516 Å
α = 90.00°, β = 90.00°, γ = 90.00°
Space group P4/mmm (No. 123)
Symmetry-distinct sites (fractional):
Y 0.0000 0.0000 0.0000 (multiplicity 1)
Ru 0.5000 0.5000 0.0000 (multiplicity 1)
S 0.0000 0.5000 0.5000 (multiplicity 2)
I 0.5000 0.5000 0.5000 (multiplicity 1)


The following is a DFT calculation (GGA-PBEsol) of an optimized crystal structure of ScSb2RuI.

Summary:
ΔE_f (raw), eV/atom: 1.041
Crystal system: tetragonal
E, eV per atom: -4.491

a = 5.3791 Å, b = 5.3791 Å, c = 5.3623 Å
α = 90.00°, β = 90.00°, γ = 90.00°
Space group P4/mmm (No. 123)
Symmetry-distinct sites (fractional):
Sc 0.0000 0.0000 0.0000 (multiplicity 1)
Sb 0.0000 0.5000 0.0000 (multiplicity 2)
Ru 0.5000 0.5000 0.5000 (multiplicity 1)
I 0.0000 0.0000 0.5000 (multiplicity 1)


The following is a DFT calculation (GGA-PBEsol) of an optimized crystal structure of SbRuSeI2.

Summary:
ΔE_f (raw), eV/atom: 0.549
Crystal system: tetragonal
E, eV per atom: -3.874

a = 5.2177 Å, b = 5.2177 Å, c = 5.0579 Å
α = 90.00°, β = 90.00°, γ = 90.00°
Space group P4/mmm (No. 123)
Symmetry-distinct sites (fractional):
Sb 0.0000 0.0000 0.0000 (multiplicity 1)
Ru 0.0000 0.0000 0.5000 (multiplicity 1)
Se 0.5000 0.5000 0.0000 (multiplicity 1)
I 0.0000 0.5000 0.5000 (multiplicity 2)


The following is a DFT calculation (GGA-PBEsol) of an optimized crystal structure of Sb2RuSeI.

Summary:
ΔE_f (raw), eV/atom: 1.476
Crystal system: tetragonal
E, eV per atom: -3.505

a = 5.2871 Å, b = 5.2871 Å, c = 5.3078 Å
α = 90.00°, β = 90.00°, γ = 90.00°
Space group P4/mmm (No. 123)
Symmetry-distinct sites (fractional):
Sb 0.0000 0.5000 0.0000 (multiplicity 2)
Ru 0.0000 0.0000 0.5000 (multiplicity 1)
Se 0.5000 0.5000 0.0000 (multiplicity 1)
I 0.5000 0.5000 0.5000 (multiplicity 1)


The following is a DFT calculation (GGA-PBEsol) of an optimized crystal structure of SbTeRuI2.

Summary:
ΔE_f (raw), eV/atom: 1.548
Crystal system: tetragonal
E, eV per atom: -2.810

a = 5.7742 Å, b = 5.7742 Å, c = 5.7859 Å
α = 90.00°, β = 90.00°, γ = 90.00°
Space group P4/mmm (No. 123)
Symmetry-distinct sites (fractional):
Sb 0.0000 0.0000 0.0000 (multiplicity 1)
Te 0.0000 0.0000 0.5000 (multiplicity 1)
Ru 0.5000 0.5000 0.0000 (multiplicity 1)
I 0.0000 0.5000 0.5000 (multiplicity 2)


The following is a DFT calculation (GGA-PBEsol) of an optimized crystal structure of ZrSbRuI2.

Summary:
ΔE_f (raw), eV/atom: 0.692
Crystal system: tetragonal
E, eV per atom: -4.778

a = 5.1704 Å, b = 5.1704 Å, c = 5.0756 Å
α = 90.00°, β = 90.00°, γ = 90.00°
Space group P4/mmm (No. 123)
Symmetry-distinct sites (fractional):
Zr 0.0000 0.0000 0.0000 (multiplicity 1)
Sb 0.5000 0.5000 0.0000 (multiplicity 1)
Ru 0.5000 0.5000 0.5000 (multiplicity 1)
I 0.0000 0.5000 0.5000 (multiplicity 2)


The following is a DFT calculation (GGA-PBEsol) of an optimized crystal structure of ScTe2RuI.

Summary:
ΔE_f (raw), eV/atom: 0.697
Crystal system: tetragonal
E, eV per atom: -4.422

a = 5.4441 Å, b = 5.4441 Å, c = 5.4511 Å
α = 90.00°, β = 90.00°, γ = 90.00°
Space group P4/mmm (No. 123)
Symmetry-distinct sites (fractional):
Sc 0.0000 0.0000 0.0000 (multiplicity 1)
Te 0.0000 0.5000 0.0000 (multiplicity 2)
Ru 0.5000 0.5000 0.5000 (multiplicity 1)
I 0.0000 0.0000 0.5000 (multiplicity 1)


The following is a DFT calculation (GGA-PBEsol) of an optimized crystal structure of SiRuI2.

Summary:
ΔE_f (raw), eV/atom: 0.941
Crystal system: cubic
E, eV per atom: -3.922

a = 6.9478 Å, b = 6.9478 Å, c = 6.9478 Å
α = 90.00°, β = 90.00°, γ = 90.00°
Space group Fm-3m (No. 225)
Symmetry-distinct sites (fractional):
Si 0.0000 0.0000 0.0000 (multiplicity 4)
Ru 0.0000 0.0000 0.5000 (multiplicity 4)
I 0.2500 0.2500 0.2500 (multiplicity 8)


The following is a DFT calculation (GGA-PBEsol) of an optimized crystal structure of Sn2RuI.

Summary:
ΔE_f (raw), eV/atom: 0.812
Crystal system: cubic
E, eV per atom: -4.302

a = 7.1611 Å, b = 7.1611 Å, c = 7.1611 Å
α = 90.00°, β = 90.00°, γ = 90.00°
Space group Fm-3m (No. 225)
Symmetry-distinct sites (fractional):
Sn 0.2500 0.2500 0.2500 (multiplicity 8)
Ru 0.0000 0.0000 0.0000 (multiplicity 4)
I 0.0000 0.0000 0.5000 (multiplicity 4)


The following is a DFT calculation (GGA-PBEsol) of an optimized crystal structure of SnRu3I.

Summary:
ΔE_f (raw), eV/atom: 1.719
Crystal system: cubic
E, eV per atom: -5.590

a = 4.7501 Å, b = 4.7501 Å, c = 4.7501 Å
α = 90.00°, β = 90.00°, γ = 90.00°
Space group Pm-3m (No. 221)
Symmetry-distinct sites (fractional):
Sn 0.0000 0.0000 0.0000 (multiplicity 1)
Ru 0.0000 0.5000 0.5000 (multiplicity 3)
I 0.5000 0.5000 0.5000 (multiplicity 1)